# ZnBrCl2 (PBE, relaxed)
# * uncorrected formation energy: -0.502 eV per atom
# * calculated total energy: -8.646 eV per formula unit
# * total magnetization: 0.79 μB/cell
# * polymorph energy (0 for the lowest one): 0.45 eV per formula unit
data_ZnBrCl2
_cell_length_a 3.253
_cell_length_b 7.363
_cell_length_c 11.429
_cell_angle_alpha 90.00
_cell_angle_beta 90.00
_cell_angle_gamma 90.00
_symmetry_space_group_name_H-M 'C m m m'
_symmetry_Int_Tables_number 65
_symmetry_space_group_name_Hall '-C 2 2'
loop_
_atom_site_label
_atom_site_fract_x
_atom_site_fract_y
_atom_site_fract_z
Zn1 0.000 0.000 0.000
Br1 0.000 0.000 0.500
Cl1 0.000 0.500 0.144

***

# ZnBr2Cl (PBE, relaxed)
# * uncorrected formation energy: -0.296 eV per atom
# * calculated total energy: -7.651 eV per formula unit
# * total magnetization: 1.09 μB/cell
# * polymorph energy (0 for the lowest one): 1.05 eV per formula unit
data_ZnBr2Cl
_cell_length_a 3.630
_cell_length_b 7.453
_cell_length_c 8.600
_cell_angle_alpha 90.00
_cell_angle_beta 90.00
_cell_angle_gamma 90.00
_symmetry_space_group_name_H-M 'I m m m'
_symmetry_Int_Tables_number 71
_symmetry_space_group_name_Hall '-I 2 2'
loop_
_atom_site_label
_atom_site_fract_x
_atom_site_fract_y
_atom_site_fract_z
Zn1 0.000 0.000 0.000
Br1 0.000 0.500 0.301
Cl1 0.000 0.000 0.500

***

# ZnBr2Cl (PBE, relaxed)
# * uncorrected formation energy: -0.113 eV per atom
# * calculated total energy: -6.918 eV per formula unit
# * total magnetization: 0.00 μB/cell
# * polymorph energy (0 for the lowest one): 1.78 eV per formula unit
data_ZnBr2Cl
_cell_length_a 5.053
_cell_length_b 9.527
_cell_length_c 5.620
_cell_angle_alpha 90.00
_cell_angle_beta 116.56
_cell_angle_gamma 90.00
_symmetry_space_group_name_H-M 'C 1 2/m 1'
_symmetry_Int_Tables_number 12
_symmetry_space_group_name_Hall '-C 2y'
loop_
_atom_site_label
_atom_site_fract_x
_atom_site_fract_y
_atom_site_fract_z
Zn1 0.000 0.000 0.000
Br1 0.250 0.250 0.500
Cl1 0.000 0.500 0.000

***

Among the records above, which one has the highest polymorph energy (0 for the lowest one)? number 3

***

Among the records above, which one has the highest polymorph energy (0 for the lowest one)? number 3

***

Which of these has the highest total magnetization? number 2